The following is a PBE calculation of SmTmAlHg after structural relaxation, from Alexandria.

Summary:
Fermi-level density of states (states/eV/atom): 1.09
Polymorph energy (0 for the lowest one) (meV/atom): 43
V (Å³ per atom): 25.305

a b c (Å): 5.231 5.231 5.231
angles (deg): 60.00 60.00 60.00
Element x y z (fractional)
Sm 0.500 0.500 0.500
Hg 0.750 0.750 0.750
Tm 0.000 0.000 0.000
Al 0.250 0.250 0.250

***

The following is a PBE calculation of Sm4AlZn2Hg after structural relaxation, from Alexandria.

Summary:
Fermi-level density of states (states/eV/atom): 1.07
V (Å³ per atom): 25.291
Final energy (eV per atom): -3.547

a b c (Å): 5.216 5.216 9.098
angles (deg): 73.34 73.34 60.00
Element x y z (fractional)
Zn 0.248 0.248 0.255
Zn 0.752 0.752 0.745
Sm 0.873 0.873 0.382
Sm 0.377 0.377 0.868
Sm 0.623 0.623 0.132
Sm 0.127 0.127 0.618
Al 0.500 0.500 0.500
Hg 0.000 0.000 0.000

***

The following is a PBE calculation of Sm4AlZnHg2 after structural relaxation, from Alexandria.

Summary:
Fermi-level density of states (states/eV/atom): 1.26
V (Å³ per atom): 26.252
Final energy (eV per atom): -3.440

a b c (Å): 5.293 5.293 9.178
angles (deg): 73.24 73.24 60.00
Last column: magnetic moment on the atom in μB.
Element x y z (fractional)
Sm 0.626 0.626 0.122  0.19
Sm 0.374 0.374 0.878  0.19
Sm 0.124 0.124 0.628  0.14
Sm 0.876 0.876 0.372  0.14
Al 0.500 0.500 0.500  0.00
Hg 0.250 0.250 0.251  0.03
Hg 0.750 0.750 0.749  0.03
Zn 0.000 0.000 0.000  0.03

***

The following is a PBE calculation of Sm2Al4Zn3Hg after structural relaxation, from Alexandria.

Summary:
Fermi-level density of states (states/eV/atom): 0.19
V (Å³ per atom): 19.804
Final energy (eV per atom): -3.232

a b c (Å): 4.270 4.270 10.860
angles (deg): 90.00 90.00 90.00
Element x y z (fractional)
Sm 0.000 0.500 0.755
Sm 0.500 0.000 0.245
Al 0.500 0.500 0.000
Al 0.000 0.000 0.000
Al 0.500 0.000 0.642
Al 0.000 0.500 0.358
Zn 0.000 0.000 0.500
Zn 0.000 0.500 0.134
Zn 0.500 0.000 0.866
Hg 0.500 0.500 0.500

***

The following is a PBE calculation of Sm4Al2ZnHg after structural relaxation, from Alexandria.

Summary:
Fermi-level density of states (states/eV/atom): 1.09
V (Å³ per atom): 25.677
Final energy (eV per atom): -3.862

a b c (Å): 5.255 5.255 9.108
angles (deg): 73.23 73.23 60.00
Element x y z (fractional)
Zn 0.500 0.500 0.500
Al 0.250 0.250 0.249
Al 0.750 0.750 0.751
Sm 0.872 0.872 0.384
Sm 0.622 0.622 0.134
Sm 0.128 0.128 0.616
Sm 0.378 0.378 0.866
Hg 0.000 0.000 0.000

***

The following is a PBE calculation of SmZrAlHg after structural relaxation, from Alexandria.

Summary:
Fermi-level density of states (states/eV/atom): 0.55
V (Å³ per atom): 23.359
Final energy (eV per atom): -4.573

a b c (Å): 5.093 5.093 5.093
angles (deg): 60.00 60.00 60.00
Element x y z (fractional)
Al 0.250 0.250 0.250
Sm 0.000 0.000 0.000
Zr 0.500 0.500 0.500
Hg 0.750 0.750 0.750

***

The following is a PBE calculation of AlSn2Hg after structural relaxation, from Alexandria.

Summary:
Fermi-level density of states (states/eV/atom): 0.37
Polymorph energy (0 for the lowest one) (meV/atom): 16
V (Å³ per atom): 26.570

a b c (Å): 4.601 4.601 6.648
angles (deg): 67.43 67.43 57.08
Element x y z (fractional)
Hg 0.493 0.493 0.502
Sn 0.270 0.270 0.212
Sn 0.071 0.071 0.782
Al 0.666 0.666 0.004

***

The following is a PBE calculation of AlSnHg after structural relaxation, from Alexandria.

Summary:
Fermi-level density of states (states/eV/atom): 0.36
Polymorph energy (0 for the lowest one) (meV/atom): 0
V (Å³ per atom): 25.087

a b c (Å): 4.340 6.858 10.114
angles (deg): 90.00 90.00 90.00
Element x y z (fractional)
Al 0.250 0.237 0.378
Al 0.750 0.737 0.122
Al 0.250 0.263 0.878
Al 0.750 0.763 0.622
Hg 0.750 0.531 0.873
Hg 0.250 0.469 0.127
Hg 0.750 0.969 0.373
Hg 0.250 0.031 0.627
Sn 0.750 0.516 0.377
Sn 0.750 0.984 0.877
Sn 0.250 0.016 0.123
Sn 0.250 0.484 0.623

***

The following is a PBE calculation of AlSnHg2 after structural relaxation, from Alexandria.

Summary:
Fermi-level density of states (states/eV/atom): 0.42
V (Å³ per atom): 24.956
Final energy (eV per atom): -1.908

a b c (Å): 3.175 3.175 11.584
angles (deg): 82.12 82.12 60.00
Element x y z (fractional)
Hg 0.919 0.919 0.242
Hg 0.081 0.081 0.758
Al 0.000 0.000 0.000
Sn 0.500 0.500 0.500

***

The following is a PBE calculation of AlSnHg2 after structural relaxation, from Alexandria.

Summary:
Fermi-level density of states (states/eV/atom): 0.34
V (Å³ per atom): 24.117
Final energy (eV per atom): -1.969

a b c (Å): 3.557 3.557 9.042
angles (deg): 78.66 78.66 60.00
Element x y z (fractional)
Hg 0.259 0.259 0.222
Hg 0.074 0.074 0.778
Sn 0.500 0.500 0.499
Al 0.666 0.666 0.001

***

The following is a PBE calculation of AlSn3Hg after structural relaxation, from Alexandria.

Summary:
Fermi-level density of states (states/eV/atom): 1.02
Polymorph energy (0 for the lowest one) (meV/atom): 345
V (Å³ per atom): 34.466

a b c (Å): 5.565 5.565 5.565
angles (deg): 90.00 90.00 90.00
Element x y z (fractional)
Hg 0.000 0.000 0.000
Sn 0.000 0.000 0.500
Sn 0.000 0.500 0.000
Sn 0.500 0.000 0.000
Al 0.500 0.500 0.500

***

The following is a PBE calculation of AlSn2Hg after structural relaxation, from Alexandria.

Summary:
Fermi-level density of states (states/eV/atom): 0.63
Polymorph energy (0 for the lowest one) (meV/atom): 63
V (Å³ per atom): 24.762

a b c (Å): 5.193 5.193 5.193
angles (deg): 60.00 60.00 60.00
Element x y z (fractional)
Hg 0.500 0.500 0.500
Al 0.000 0.000 0.000
Sn 0.750 0.750 0.750
Sn 0.250 0.250 0.250

***

The following is a PBE calculation of AlSnHg2 after structural relaxation, from Alexandria.

Summary:
Fermi-level density of states (states/eV/atom): 0.33
V (Å³ per atom): 23.712
Final energy (eV per atom): -1.912

a b c (Å): 4.561 4.560 4.560
angles (deg): 90.00 90.00 90.00
Element x y z (fractional)
Sn 0.500 0.000 0.000
Hg 0.000 0.000 0.500
Hg 0.000 0.500 0.000
Al 0.500 0.500 0.500

***

The following is a PBE calculation of Al2SnHg2 after structural relaxation, from Alexandria.

Summary:
Fermi-level density of states (states/eV/atom): 0.37
Polymorph energy (0 for the lowest one) (meV/atom): 14
V (Å³ per atom): 22.528

a b c (Å): 8.481 8.481 3.132
angles (deg): 90.00 90.00 90.00
Element x y z (fractional)
Hg 0.179 0.321 0.000
Hg 0.321 0.821 0.000
Hg 0.679 0.179 0.000
Hg 0.821 0.679 0.000
Sn 0.500 0.500 0.000
Sn 0.000 0.000 0.000
Al 0.619 0.881 0.500
Al 0.381 0.119 0.500
Al 0.119 0.619 0.500
Al 0.881 0.381 0.500

***

The following is a PBE calculation of AlSn2Hg after structural relaxation, from Alexandria.

Summary:
Fermi-level density of states (states/eV/atom): 0.41
Polymorph energy (0 for the lowest one) (meV/atom): 0
V (Å³ per atom): 25.223

a b c (Å): 3.530 3.530 8.095
angles (deg): 90.00 90.00 90.00
Element x y z (fractional)
Sn 0.000 0.000 0.212
Sn 0.000 0.000 0.788
Al 0.500 0.500 0.000
Hg 0.500 0.500 0.500

***

The following is a PBE calculation of Al2SnHg2 after structural relaxation, from Alexandria.

Summary:
Fermi-level density of states (states/eV/atom): 0.27
Polymorph energy (0 for the lowest one) (meV/atom): 5
V (Å³ per atom): 22.923

a b c (Å): 4.254 4.254 7.010
angles (deg): 72.34 72.34 90.00
Element x y z (fractional)
Hg 0.612 0.612 0.776
Hg 0.388 0.388 0.224
Al 0.750 0.250 0.500
Al 0.250 0.750 0.500
Sn 0.000 0.000 0.000

***

The following is a PBE calculation of AlSnHg2 after structural relaxation, from Alexandria.

Summary:
Fermi-level density of states (states/eV/atom): 0.55
V (Å³ per atom): 24.839
Final energy (eV per atom): -1.935

a b c (Å): 4.280 4.280 11.264
angles (deg): 79.05 79.05 90.00
Element x y z (fractional)
Hg 0.616 0.125 0.250
Hg 0.375 0.384 0.750
Hg 0.134 0.625 0.250
Hg 0.875 0.866 0.750
Sn 0.750 0.250 0.500
Sn 0.000 0.000 0.000
Al 0.500 0.500 0.000
Al 0.250 0.750 0.500

***

The following is a PBE calculation of AlSnHg after structural relaxation, from Alexandria.

Summary:
Fermi-level density of states (states/eV/atom): 0.22
Polymorph energy (0 for the lowest one) (meV/atom): 36
V (Å³ per atom): 23.238

a b c (Å): 3.312 3.312 6.775
angles (deg): 104.15 104.15 90.00
Element x y z (fractional)
Hg 0.016 0.016 0.032
Al 0.663 0.663 0.326
Sn 0.321 0.321 0.642

***

The following is a PBE calculation of Al2SnHg2 after structural relaxation, from Alexandria.

Summary:
Fermi-level density of states (states/eV/atom): 0.46
Polymorph energy (0 for the lowest one) (meV/atom): 0
V (Å³ per atom): 22.909

a b c (Å): 7.685 7.685 3.879
angles (deg): 90.00 90.00 90.00
Element x y z (fractional)
Al 0.874 0.626 0.000
Al 0.626 0.126 0.000
Al 0.126 0.374 0.000
Al 0.374 0.874 0.000
Hg 0.675 0.825 0.500
Hg 0.175 0.675 0.500
Hg 0.325 0.175 0.500
Hg 0.825 0.325 0.500
Sn 0.000 0.000 0.000
Sn 0.500 0.500 0.000

***

The following is a PBE calculation of AlSnHg after structural relaxation, from Alexandria.

Summary:
Fermi-level density of states (states/eV/atom): 0.29
Polymorph energy (0 for the lowest one) (meV/atom): 25
V (Å³ per atom): 23.738

a b c (Å): 3.494 3.494 6.737
angles (deg): 90.00 90.00 120.00
Element x y z (fractional)
Hg 0.333 0.667 0.640
Sn 0.000 0.000 0.013
Al 0.667 0.333 0.346

***

The following is a PBE calculation of AlSn3Hg after structural relaxation, from Alexandria.

Summary:
Fermi-level density of states (states/eV/atom): 0.83
Polymorph energy (0 for the lowest one) (meV/atom): 0
V (Å³ per atom): 30.378

a b c (Å): 5.336 5.336 5.336
angles (deg): 90.00 90.00 90.00
Element x y z (fractional)
Sn 0.000 0.000 0.500
Sn 0.000 0.500 0.000
Sn 0.500 0.000 0.000
Hg 0.500 0.500 0.500
Al 0.000 0.000 0.000

***

The following is a PBE calculation of AlSn2Hg after structural relaxation, from Alexandria.

Summary:
Fermi-level density of states (states/eV/atom): 0.26
Polymorph energy (0 for the lowest one) (meV/atom): 39
V (Å³ per atom): 24.581

a b c (Å): 3.945 4.993 4.993
angles (deg): 90.00 90.00 90.00
Element x y z (fractional)
Hg 0.500 0.500 0.500
Al 0.500 0.000 0.000
Sn 0.000 0.000 0.500
Sn 0.000 0.500 0.000

***

The following is a PBE calculation of Al3SnHg after structural relaxation, from Alexandria.

Summary:
Fermi-level density of states (states/eV/atom): 0.74
Polymorph energy (0 for the lowest one) (meV/atom): 0
V (Å³ per atom): 26.121

a b c (Å): 5.074 5.074 5.074
angles (deg): 90.00 90.00 90.00
Element x y z (fractional)
Al 0.500 0.000 0.000
Al 0.000 0.500 0.000
Al 0.000 0.000 0.500
Sn 0.500 0.500 0.500
Hg 0.000 0.000 0.000

***

The following is a PBE calculation of AlSn2Hg after structural relaxation, from Alexandria.

Summary:
Fermi-level density of states (states/eV/atom): 0.60
Polymorph energy (0 for the lowest one) (meV/atom): 83
V (Å³ per atom): 25.705

a b c (Å): 3.192 3.192 11.800
angles (deg): 82.23 82.23 60.00
Element x y z (fractional)
Al 0.000 0.000 0.000
Hg 0.500 0.500 0.500
Sn 0.082 0.082 0.754
Sn 0.918 0.918 0.246

***

The following is a PBE calculation of AlSnHg2 after structural relaxation, from Alexandria.

Summary:
Fermi-level density of states (states/eV/atom): 0.19
V (Å³ per atom): 23.688
Final energy (eV per atom): -1.942

a b c (Å): 3.613 3.613 7.260
angles (deg): 90.00 90.00 90.00
Element x y z (fractional)
Sn 0.500 0.500 0.500
Hg 0.000 0.000 0.776
Hg 0.000 0.000 0.224
Al 0.500 0.500 0.000

***

The following is a PBE calculation of AlSn2Hg after structural relaxation, from Alexandria.

Summary:
Fermi-level density of states (states/eV/atom): 0.46
Polymorph energy (0 for the lowest one) (meV/atom): 129
V (Å³ per atom): 29.828

a b c (Å): 5.409 5.409 9.009
angles (deg): 72.53 72.53 90.00
Element x y z (fractional)
Sn 0.146 0.625 0.250
Sn 0.604 0.125 0.250
Sn 0.875 0.854 0.750
Sn 0.375 0.396 0.750
Al 0.500 0.500 0.000
Al 0.250 0.750 0.500
Hg 0.000 0.000 0.000
Hg 0.750 0.250 0.500

***

The following is a PBE calculation of Sr2AlSn2Hg4 after structural relaxation, from Alexandria.

Summary:
Fermi-level density of states (states/eV/atom): 0.26
V (Å³ per atom): 27.671
Final energy (eV per atom): -2.147

a b c (Å): 7.047 7.047 7.047
angles (deg): 90.76 119.56 119.56
Element x y z (fractional)
Hg 0.539 0.270 0.270
Hg 0.000 0.730 0.270
Hg 0.461 0.730 0.730
Hg 0.000 0.270 0.730
Sr 0.500 0.250 0.750
Sr 0.500 0.750 0.250
Al 0.000 0.000 0.000
Sn 0.000 0.704 0.704
Sn 0.000 0.296 0.296